# Ac3Ag5Cl12

A relaxed Ac3Ag5Cl12 crystal (PBE, the Alexandria database).

## Properties
**VASP energy**: -3.734 eV/atom

Lattice parameters (Å, degrees): 14.3999 14.3999 14.3999 109.47 109.47 109.47
Positions (direct):
Ac1 0.1250 0.2500 0.3750
Ac2 0.1250 0.3750 0.7500
Ac3 0.2500 0.3750 0.1250
Ac4 0.2500 0.8750 0.6250
Ac5 0.3750 0.1250 0.2500
Ac6 0.3750 0.7500 0.1250
Ac7 0.6250 0.2500 0.8750
Ac8 0.6250 0.8750 0.7500
Ac9 0.7500 0.1250 0.3750
Ac10 0.7500 0.6250 0.8750
Ac11 0.8750 0.6250 0.2500
Ac12 0.8750 0.7500 0.6250
Ag1 0.0000 0.0000 0.0000
Ag2 0.0000 0.0000 0.5000
Ag3 0.0000 0.5000 0.0000
Ag4 0.0000 0.5000 0.5000
Ag5 0.1250 0.7500 0.8750
Ag6 0.1250 0.8750 0.2500
Ag7 0.2500 0.1250 0.8750
Ag8 0.2500 0.6250 0.3750
Ag9 0.3750 0.2500 0.6250
Ag10 0.3750 0.6250 0.7500
Ag11 0.5000 0.0000 0.0000
Ag12 0.5000 0.0000 0.5000
Ag13 0.5000 0.5000 0.0000
Ag14 0.5000 0.5000 0.5000
Ag15 0.6250 0.3750 0.2500
Ag16 0.6250 0.7500 0.3750
Ag17 0.7500 0.3750 0.6250
Ag18 0.7500 0.8750 0.1250
Ag19 0.8750 0.1250 0.7500
Ag20 0.8750 0.2500 0.1250
Cl1 0.0483 0.2240 0.1332
Cl2 0.0483 0.3243 0.9152
Cl3 0.0848 0.6332 0.4091
Cl4 0.0848 0.9517 0.6757
Cl5 0.0909 0.7240 0.6757
Cl6 0.0909 0.8668 0.4152
Cl7 0.1332 0.0483 0.2240
Cl8 0.1332 0.5848 0.9091
Cl9 0.1757 0.2240 0.5909
Cl10 0.1757 0.4517 0.5848
Cl11 0.2240 0.1332 0.0483
Cl12 0.2240 0.5909 0.1757
Cl13 0.2760 0.3243 0.9091
Cl14 0.2760 0.4517 0.3668
Cl15 0.3243 0.9091 0.2760
Cl16 0.3243 0.9152 0.0483
Cl17 0.3668 0.2760 0.4517
Cl18 0.3668 0.5909 0.9152
Cl19 0.4091 0.0848 0.6332
Cl20 0.4091 0.8243 0.7760
Cl21 0.4152 0.0909 0.8668
Cl22 0.4152 0.8243 0.5483
Cl23 0.4517 0.3668 0.2760
Cl24 0.4517 0.5848 0.1757
Cl25 0.5483 0.4152 0.8243
Cl26 0.5483 0.6332 0.7240
Cl27 0.5848 0.1757 0.4517
Cl28 0.5848 0.9091 0.1332
Cl29 0.5909 0.1757 0.2240
Cl30 0.5909 0.9152 0.3668
Cl31 0.6332 0.4091 0.0848
Cl32 0.6332 0.7240 0.5483
Cl33 0.6757 0.0848 0.9517
Cl34 0.6757 0.0909 0.7240
Cl35 0.7240 0.5483 0.6332
Cl36 0.7240 0.6757 0.0909
Cl37 0.7760 0.4091 0.8243
Cl38 0.7760 0.8668 0.9517
Cl39 0.8243 0.5483 0.4152
Cl40 0.8243 0.7760 0.4091
Cl41 0.8668 0.4152 0.0909
Cl42 0.8668 0.9517 0.7760
Cl43 0.9091 0.1332 0.5848
Cl44 0.9091 0.2760 0.3243
Cl45 0.9152 0.0483 0.3243
Cl46 0.9152 0.3668 0.5909
Cl47 0.9517 0.6757 0.0848
Cl48 0.9517 0.7760 0.8668